A geometry-optimized BeAlTeN2 structure. Source: Alexandria, functional PBEsol.

abc: 3.6298 3.6298 5.2552
angles: 90.00 90.00 90.00
Sites, in units of the cell vectors:
Be1 0.0000 0.0000 0.0000
Al1 0.5000 0.5000 0.5000
Te1 0.0000 0.0000 0.5000
N1 0.0000 0.5000 0.0000
N2 0.5000 0.0000 0.0000

VASP energy: -4.642 eV per atom
V: 69 Å³ per cell

A geometry-optimized BeAlTeN2 structure. Source: Alexandria, functional PBEsol.

abc: 3.6360 3.6360 5.9428
angles: 90.00 90.00 90.00
Sites, in units of the cell vectors:
Be1 0.0000 0.0000 0.0000
Al1 0.5000 0.5000 0.5000
Te1 0.5000 0.5000 0.0000
N1 0.0000 0.5000 0.5000
N2 0.5000 0.0000 0.5000

VASP energy: -4.929 eV per atom
V: 79 Å³ per cell

A geometry-optimized NaBe3Al2Si6O19 structure. Source: Alexandria, functional PBEsol.

abc: 9.2568 9.2568 9.2233
angles: 90.00 90.00 120.00
Sites, in units of the cell vectors:
Na1 0.0000 0.0000 0.0000
Na2 0.0000 0.0000 0.5000
Be1 0.0000 0.5000 0.2500
Be2 0.0000 0.5000 0.7500
Be3 0.5000 0.0000 0.2500
Be4 0.5000 0.0000 0.7500
Be5 0.5000 0.5000 0.2500
Be6 0.5000 0.5000 0.7500
Al1 0.3333 0.6667 0.2500
Al2 0.3333 0.6667 0.7500
Al3 0.6667 0.3333 0.2500
Al4 0.6667 0.3333 0.7500
Si1 0.1161 0.3889 0.0000
Si2 0.1161 0.7272 0.5000
Si3 0.2728 0.3889 0.5000
Si4 0.2728 0.8839 0.0000
Si5 0.3889 0.1161 0.5000
Si6 0.3889 0.2728 0.0000
Si7 0.6111 0.7272 0.0000
Si8 0.6111 0.8839 0.5000
Si9 0.7272 0.1161 0.0000
Si10 0.7272 0.6111 0.5000
Si11 0.8839 0.2728 0.5000
Si12 0.8839 0.6111 0.0000
O1 0.0000 0.0000 0.2500
O2 0.0000 0.0000 0.7500
O3 0.0733 0.3088 0.5000
O4 0.0733 0.7645 0.0000
O5 0.1456 0.5002 0.1456
O6 0.1456 0.5002 0.8544
O7 0.1456 0.6454 0.3544
O8 0.1456 0.6454 0.6456
O9 0.2355 0.3088 0.0000
O10 0.2355 0.9267 0.5000
O11 0.3088 0.0733 0.0000
O12 0.3088 0.2355 0.5000
O13 0.3546 0.5002 0.3544
O14 0.3546 0.5002 0.6456
O15 0.3546 0.8544 0.1456
O16 0.3546 0.8544 0.8544
O17 0.5002 0.1456 0.3544
O18 0.5002 0.1456 0.6456
O19 0.5002 0.3546 0.1456
O20 0.5002 0.3546 0.8544
O21 0.4998 0.6454 0.1456
O22 0.4998 0.6454 0.8544
O23 0.4998 0.8544 0.3544
O24 0.4998 0.8544 0.6456
O25 0.6454 0.1456 0.1456
O26 0.6454 0.1456 0.8544
O27 0.6454 0.4998 0.3544
O28 0.6454 0.4998 0.6456
O29 0.6912 0.7645 0.5000
O30 0.6912 0.9267 0.0000
O31 0.7645 0.0733 0.5000
O32 0.7645 0.6912 0.0000
O33 0.8544 0.3546 0.3544
O34 0.8544 0.3546 0.6456
O35 0.8544 0.4998 0.1456
O36 0.8544 0.4998 0.8544
O37 0.9267 0.2355 0.0000
O38 0.9267 0.6912 0.5000

VASP energy: -7.707 eV per atom
V: 684 Å³ per cell